The following is a GGA+U calculation of crystalline CaBi2MoO6 at its relaxed geometry, from Alexandria via LeMat-Bulk.

Calculated values
- Total DFT energy (no corrections): -128.23 eV/cell

abc: 5.721 6.210 8.258
angles: 90.00 90.33 90.00
Atoms (fractional coordinates):
Ca 0.500 0.000 0.000
Ca 0.000 0.500 0.500
Bi 0.008 0.940 0.282
Bi 0.508 0.560 0.782
Bi 0.992 0.060 0.718
Bi 0.492 0.440 0.218
Mo 0.500 0.000 0.500
Mo 0.000 0.500 0.000
O 0.328 0.664 0.024
O 0.828 0.836 0.524
O 0.672 0.336 0.976
O 0.172 0.164 0.476
O 0.311 0.741 0.412
O 0.811 0.759 0.912
O 0.689 0.259 0.588
O 0.189 0.241 0.088
O 0.882 0.570 0.230
O 0.382 0.930 0.730
O 0.118 0.430 0.770
O 0.618 0.070 0.270


The following is a GGA+U calculation of crystalline CaBiMoO5 at its relaxed geometry, from Alexandria via LeMat-Bulk.

Calculated values
- Total DFT energy (no corrections): -211.49 eV/cell

abc: 5.828 8.707 11.923
angles: 90.00 90.00 108.19
Atoms (fractional coordinates):
Ca 0.623 0.179 0.914
Ca 0.377 0.821 0.086
Ca 0.877 0.321 0.414
Ca 0.123 0.679 0.586
Bi 0.109 0.145 0.103
Bi 0.891 0.855 0.897
Bi 0.609 0.645 0.397
Bi 0.391 0.355 0.603
Mo 0.799 0.970 0.634
Mo 0.201 0.030 0.366
Mo 0.701 0.530 0.134
Mo 0.299 0.470 0.866
O 0.529 0.337 0.066
O 0.039 0.329 0.935
O 0.494 0.638 0.194
O 0.741 0.511 0.528
O 0.780 0.492 0.286
O 0.280 0.992 0.214
O 0.539 0.829 0.565
O 0.461 0.171 0.435
O 0.259 0.489 0.472
O 0.971 0.163 0.566
O 0.220 0.508 0.714
O 0.471 0.663 0.934
O 0.029 0.837 0.434
O 0.720 0.008 0.786
O 0.759 0.989 0.028
O 0.241 0.011 0.972
O 0.506 0.362 0.806
O 0.961 0.671 0.065
O 0.006 0.862 0.694
O 0.994 0.138 0.306